## a
SrScRu | Alexandria | PBE | optimized geometry; space group = P3m1 (156)
1.0
4.3720 0.0000 0.0000
-2.1860 3.7863 0.0000
0.0000 0.0000 4.8915
Sr Sc Ru
1 1 1
Cartesian
0.0000 0.0000 0.0000
2.1860 1.2621 2.4455
0.0000 2.5242 2.4397

## b
SrScRu | Alexandria | PBE | optimized geometry; space group = I4mm (107)
1.0
-1.7246 1.7246 6.2930
1.7246 -1.7246 6.2930
1.7246 1.7246 -6.2930
Sr Sc Ru
1 1 1
Cartesian
0.0000 0.0000 0.0000
0.0000 0.0000 3.2657
0.0000 0.0000 8.3958

Which one is most stable, and which one is least stable? b is the most stable of them, while a is the least stable.

## a
SrScRu | Alexandria | PBE | optimized geometry; space group = F-43m (216)
1.0
0.0000 3.3838 3.3838
3.3838 0.0000 3.3838
3.3838 3.3838 0.0000
Sr Sc Ru
1 1 1
Cartesian
0.0000 0.0000 0.0000
3.3838 3.3838 3.3838
5.0757 5.0757 5.0757

## b
SrScRu | Alexandria | PBE | optimized geometry; space group = F-43m (216)
1.0
0.0000 3.3709 3.3709
3.3709 0.0000 3.3709
3.3709 3.3709 0.0000
Sr Sc Ru
1 1 1
Cartesian
0.0000 0.0000 0.0000
5.0564 5.0564 5.0564
1.6855 1.6855 1.6855

## c
SrScRu | Alexandria | PBE | optimized geometry; space group = P3m1 (156)
1.0
3.5795 0.0000 0.0000
-1.7897 3.0999 0.0000
0.0000 0.0000 7.1666
Sr Sc Ru
1 1 1
Cartesian
0.0000 0.0000 0.0000
0.0000 2.0666 3.7847
1.7897 1.0333 2.2302

Which one is most stable, and which one is least stable? c is the most stable of them, while b is the least stable.

## a
Sr2ScRu | Alexandria | PBE | optimized geometry; space group = I-42d (122)
1.0
-5.7287 5.7287 2.4104
5.7287 -5.7287 2.4104
5.7287 5.7287 -2.4104
Sr Sc Ru
4 2 2
Cartesian
1.0105 2.8643 0.6026
-2.8643 4.7182 1.8078
-1.0105 8.5930 0.6026
2.8643 6.7391 1.8078
5.7287 0.0000 1.2052
0.0000 0.0000 2.4104
0.0000 0.0000 0.0000
0.0000 5.7287 1.2052

## b
Sr2ScRu | Alexandria | PBE | optimized geometry; space group = Imm2 (44)
1.0
-1.8493 2.9366 5.6962
1.8493 -2.9366 5.6962
1.8493 2.9366 -5.6962
Sr Sc Ru
2 1 1
Cartesian
0.0000 0.0000 0.0000
0.0000 2.9366 2.1430
1.8493 0.0000 3.6567
0.0000 0.0000 5.2934

Which one is most stable, and which one is least stable? b is the most stable of them, while a is the least stable.

## a
Sr2ScRu | Alexandria | PBE | optimized geometry; space group = P2/m (10)
1.0
3.7879 0.0000 0.0000
0.0000 4.8358 0.0000
-1.2577 0.0000 6.1585
Sr Sc Ru
2 1 1
Cartesian
0.0551 0.0000 1.7077
2.4752 0.0000 4.4508
1.8940 2.4179 0.0000
1.2651 2.4179 3.0793

## b
Sr2ScRu | Alexandria | PBE | optimized geometry; space group = R-3m (166)
1.0
1.7930 1.0352 10.8241
-1.7930 1.0352 10.8241
0.0000 -2.0703 10.8241
Sr Sc Ru
2 1 1
Cartesian
0.0000 0.0000 7.5481
0.0000 0.0000 24.9242
0.0000 0.0000 0.0000
0.0000 0.0000 16.2362

Which one is most stable, and which one is least stable? a is the most stable of them, while b is the least stable.

## a
Sr2ScRu | Alexandria | PBE | optimized geometry; space group = C2/m (12)
1.0
3.2552 -3.2565 0.0000
3.2552 3.2565 0.0000
-0.0109 0.0000 5.0638
Sr Sc Ru
2 1 1
Cartesian
1.6276 1.6282 0.0000
1.6276 -1.6282 0.0000
-0.0054 0.0000 2.5319
3.2498 0.0000 2.5319

## b
Sr2ScRu | Alexandria | PBE | optimized geometry; space group = C2/m (12)
1.0
9.2083 -1.7174 0.0000
9.2083 1.7174 0.0000
-0.9576 0.0000 4.0967
Sr Sc Ru
2 1 1
Cartesian
2.6692 0.0000 0.6237
14.7898 0.0000 3.4730
-0.4788 0.0000 2.0484
9.2083 0.0000 0.0000

## c
Sr2ScRu | Alexandria | PBE | optimized geometry; space group = F-43m (216)
1.0
0.0000 3.7360 3.7360
3.7360 0.0000 3.7360
3.7360 3.7360 0.0000
Sr Sc Ru
2 1 1
Cartesian
0.0000 0.0000 0.0000
1.8680 1.8680 1.8680
5.6039 5.6039 5.6039
3.7360 3.7360 3.7360

Which one is most stable, and which one is least stable? b is the most stable of them, while a is the least stable.

## a
ScTaRu2 | Alexandria | PBE | optimized geometry; space group = I-42d (122)
1.0
-3.4816 3.4816 2.9370
3.4816 -3.4816 2.9370
3.4816 3.4816 -2.9370
Sc Ta Ru
2 2 4
Cartesian
0.0000 0.0000 0.0000
0.0000 3.4816 1.4685
3.4816 0.0000 1.4685
0.0000 0.0000 2.9370
1.7408 -1.6146 2.2028
1.8670 1.7408 0.7343
1.7408 5.0962 -0.7343
1.6146 1.7408 3.6713

## b
ScTaRu2 | Alexandria | PBE | optimized geometry; space group = P4mm (99)
1.0
2.8308 0.0000 0.0000
0.0000 2.8308 0.0000
0.0000 0.0000 8.4278
Sc Ta Ru
1 1 2
Cartesian
0.0000 0.0000 0.0000
1.4154 1.4154 2.4943
0.0000 0.0000 4.6446
1.4154 1.4154 6.2900

Which one is most stable, and which one is least stable? b is the most stable of them, while a is the least stable.

## a
ScTaRu2 | Alexandria | PBE | optimized geometry; space group = I-4m2 (119)
1.0
-1.8816 1.8816 4.6535
1.8816 -1.8816 4.6535
1.8816 1.8816 -4.6535
Sc Ta Ru
1 1 2
Cartesian
0.0000 0.0000 0.0000
1.8816 0.0000 2.3268
0.0000 0.0000 4.6535
0.0000 1.8816 2.3268

## b
ScTaRu2 | Alexandria | PBE | optimized geometry; space group = P2/m (10)
1.0
4.4978 0.0000 0.0000
0.0000 3.0471 0.0000
-2.2416 0.0000 4.8739
Sc Ta Ru
1 1 2
Cartesian
0.0000 0.0000 0.0000
1.1281 1.5236 2.4369
-1.1208 0.0000 2.4369
2.2489 1.5236 0.0000

## c
ScTaRu2 | Alexandria | PBE | optimized geometry; space group = C2/m (12)
1.0
2.9490 -4.0779 0.0000
2.9490 4.0779 0.0000
-1.0205 0.0000 2.7287
Sc Ta Ru
1 1 2
Cartesian
0.0000 0.0000 0.0000
2.9490 0.0000 0.0000
0.9643 2.0389 1.3643
0.9643 -2.0389 1.3643

## d
ScTaRu2 | Alexandria | PBE | optimized geometry; space group = Pmma (51)
1.0
4.5428 0.0000 0.0000
0.0000 3.1736 0.0000
0.0000 0.0000 9.0307
Sc Ta Ru
2 2 4
Cartesian
1.1357 0.0000 1.1051
3.4071 0.0000 7.9256
1.1357 0.0000 5.6757
3.4071 0.0000 3.3550
1.1357 1.5868 3.4644
1.1357 1.5868 7.7968
3.4071 1.5868 1.2339
3.4071 1.5868 5.5663

Which one is most stable, and which one is least stable? d is the most stable of them, while b is the least stable.

## a
ScTaRu2 | Alexandria | PBE | optimized geometry; space group = P4/mmm (123)
1.0
4.5107 0.0000 0.0000
0.0000 4.5107 0.0000
0.0000 0.0000 3.1695
Sc Ta Ru
1 1 2
Cartesian
0.0000 0.0000 0.0000
2.2554 2.2554 0.0000
0.0000 2.2554 1.5847
2.2554 0.0000 1.5847

## b
ScTaRu2 | Alexandria | PBE | optimized geometry; space group = C2/m (12)
1.0
4.1841 -1.5375 0.0000
4.1841 1.5375 0.0000
-1.1156 0.0000 5.2574
Sc Ta Ru
1 1 2
Cartesian
0.0000 0.0000 0.0000
3.6263 0.0000 2.6287
1.2232 0.0000 3.8465
6.0294 0.0000 1.4110

## c
ScTaRu2 | Alexandria | PBE | optimized geometry; space group = P4/mmm (123)
1.0
3.1798 0.0000 0.0000
0.0000 3.1798 0.0000
0.0000 0.0000 6.4293
Sc Ta Ru
1 1 2
Cartesian
0.0000 0.0000 0.0000
0.0000 0.0000 3.2147
1.5899 1.5899 1.6785
1.5899 1.5899 4.7509

Which one is most stable, and which one is least stable? c is the most stable of them, while b is the least stable.

## a
ScTaRu2 | Alexandria | PBE | optimized geometry; space group = P4mm (99)
1.0
3.5061 0.0000 0.0000
0.0000 3.5061 0.0000
0.0000 0.0000 5.5758
Sc Ta Ru
1 1 2
Cartesian
0.0000 0.0000 0.0000
1.7531 1.7531 1.8477
0.0000 0.0000 2.7764
1.7531 1.7531 4.7414

## b
ScTaRu2 | Alexandria | PBE | optimized geometry; space group = F-43m (216)
1.0
0.0000 3.1798 3.1798
3.1798 0.0000 3.1798
3.1798 3.1798 0.0000
Sc Ta Ru
1 1 2
Cartesian
0.0000 0.0000 0.0000
1.5899 1.5899 1.5899
3.1798 3.1798 3.1798
4.7696 4.7696 4.7696

## c
ScTaRu2 | Alexandria | PBE | optimized geometry; space group = Fm-3m (225)
1.0
0.0000 3.1811 3.1811
3.1811 0.0000 3.1811
3.1811 3.1811 0.0000
Sc Ta Ru
1 1 2
Cartesian
0.0000 0.0000 0.0000
3.1811 3.1811 3.1811
1.5905 1.5905 1.5905
4.7716 4.7716 4.7716

Which one is most stable, and which one is least stable? c is the most stable of them, while b is the least stable.

## a
ScTaRu2 | Alexandria | PBE | optimized geometry; space group = Pm (6)
1.0
2.9426 0.0000 0.0000
0.0000 4.5063 0.0000
-1.1729 0.0000 4.9864
Sc Ta Ru
1 1 2
Cartesian
0.0000 0.0000 0.0000
1.7510 2.2532 1.5475
-0.1069 2.2532 4.0923
0.7632 0.0000 2.5114

## b
ScTaRu2 | Alexandria | PBE | optimized geometry; space group = R-3m (166)
1.0
1.5542 0.8973 8.1008
-1.5542 0.8973 8.1008
0.0000 -1.7947 8.1008
Sc Ta Ru
1 1 2
Cartesian
0.0000 0.0000 0.0000
0.0000 0.0000 12.1512
0.0000 0.0000 5.9848
0.0000 0.0000 18.3175

## c
ScTaRu2 | Alexandria | PBE | optimized geometry; space group = R3m (160)
1.0
1.4491 0.8366 9.1964
-1.4491 0.8366 9.1964
0.0000 -1.6732 9.1964
Sc Ta Ru
1 1 2
Cartesian
0.0000 0.0000 0.0000
0.0000 0.0000 6.6407
0.0000 0.0000 13.5524
0.0000 0.0000 20.7009

## d
ScTaRu2 | Alexandria | PBE | optimized geometry; space group = Pmm2 (25)
1.0
3.0507 0.0000 0.0000
0.0000 4.1966 0.0000
0.0000 0.0000 5.2829
Sc Ta Ru
1 1 2
Cartesian
0.0000 0.0000 0.0000
1.5254 2.0983 1.7875
0.0000 0.0000 2.6374
1.5254 2.0983 4.5160

Which one is most stable, and which one is least stable? a is the most stable of them, while c is the least stable.

## a
Sc2TaRu | Alexandria | PBE | optimized geometry; space group = I4/mmm (139)
1.0
-1.9564 1.9564 4.7968
1.9564 -1.9564 4.7968
1.9564 1.9564 -4.7968
Sc Ta Ru
2 1 1
Cartesian
1.9564 0.0000 2.3984
0.0000 1.9564 2.3984
0.0000 0.0000 0.0000
0.0000 0.0000 4.7968

## b
Sc2TaRu | Alexandria | PBE | optimized geometry; space group = R3m (160)
1.0
1.5646 0.9033 9.3142
-1.5646 0.9033 9.3142
0.0000 -1.8067 9.3142
Sc Ta Ru
2 1 1
Cartesian
0.0000 0.0000 0.0000
0.0000 0.0000 6.3881
0.0000 0.0000 13.2843
0.0000 0.0000 20.6623

Which one is most stable, and which one is least stable? b is the most stable of them, while a is the least stable.